No. 1
5
Lattice="-2.062 2.062 5.379 2.062 -2.062 5.379 2.062 2.062 -5.379" Properties=species:S:1:pos:R:3 comment="PuGe2PdRh | Alexandria via LeMat-Bulk | PBE-GGA | optimized geometry" e_tot_ev_per_atom=-7.841 delta_e_f_ev_per_fu=-3.09 n_ef_per_ev_atom=2.2481 pbc="T T T"
Pu 0.000 0.000 0.000
Ge 0.000 0.000 4.113
Ge 0.000 0.000 6.645
Pd 0.000 2.062 2.690
Rh 2.062 0.000 2.690

---

No. 2
5
Lattice="4.781 0.000 0.000 0.000 4.781 0.000 0.000 0.000 4.998" Properties=species:S:1:pos:R:3 comment="NaZnTcGe2 | Alexandria via LeMat-Bulk | PBE-GGA | optimized geometry" e_tot_ev_per_atom=-4.422 delta_e_f_ev_per_fu=0.08 n_ef_per_ev_atom=0.2692 pbc="T T T"
Na 0.000 0.000 0.000
Zn 2.390 2.390 0.000
Tc 2.390 2.390 2.499
Ge 0.000 2.390 2.499
Ge 2.390 0.000 2.499